# Pm7Mg2Ir2 PBE relaxed
# - space-group type = Imm2
# - DFT total energy (eV per cell) = -57.14
# - excess energy over the best structure of this formula in the dataset (meV per atom) = 0
# - energy of formation from the pure elements (eV/f.u.) = -3.0
data_Pm7Mg2Ir2
_space_group_name_H-M_alt 'P 1'
_space_group_IT_number 1
_cell_length_a 9.892
_cell_length_b 9.892
_cell_length_c 9.892
_cell_angle_alpha 157.87
_cell_angle_beta 70.62
_cell_angle_gamma 113.92
loop_
_space_group_symop_operation_xyz
'x,y,z'
loop_
_atom_site_label
_atom_site_type_symbol
_atom_site_fract_x
_atom_site_fract_y
_atom_site_fract_z
Pm1 Pm 0.000 0.000 0.000
Pm2 Pm 0.062 0.706 0.356
Pm3 Pm 0.333 0.511 0.822
Pm4 Pm 0.351 0.706 0.644
Pm5 Pm 0.649 0.306 0.343
Pm6 Pm 0.689 0.511 0.178
Pm7 Pm 0.964 0.306 0.657
Mg1 Mg 0.456 0.956 0.500
Mg2 Mg 0.684 0.684 0.000
Ir1 Ir 0.199 0.014 0.185
Ir2 Ir 0.829 0.014 0.815